The following is a PBE calculation of AcCeHo2Bi4 after structural relaxation, from Alexandria via LeMat-Bulk.

- Formation enthalpy at 0 K: -656 kJ/mol of formula units
- Crystal system: monoclinic
- Symmetry: No. 10

Cell lengths 4.6144, 7.9615, 7.9918 Å; angles 70.49, 90.00, 90.00 degrees
Fractional positions:
1 Ac 0.0000 0.5000 0.5000
2 Bi 0.5000 0.7688 0.2363
3 Bi 0.0000 0.7635 0.7526
4 Bi 0.5000 0.2312 0.7637
5 Bi 0.0000 0.2365 0.2474
6 Ho 0.5000 0.0000 0.5000
7 Ho 0.0000 0.0000 0.0000
8 Ce 0.5000 0.5000 0.0000

---

The following is a PBE calculation of LaAl2Ga after structural relaxation, from Alexandria via LeMat-Bulk.

- Formation enthalpy at 0 K: 150 kJ/mol of formula units
- Crystal system: trigonal
- Symmetry: No. 166

Cell lengths 4.0430, 4.0430, 8.7612 Å; angles 76.66, 76.66, 60.00 degrees
Fractional positions:
1 Al 0.1255 0.1255 0.6236
2 Al 0.8745 0.8745 0.3764
3 Ga 0.5000 0.5000 0.5000
4 La 0.0000 0.0000 0.0000

---

The following is a PBE calculation of TbBPd3 after structural relaxation, from Alexandria via LeMat-Bulk.

- Formation enthalpy at 0 K: -296 kJ/mol of formula units
- Crystal system: cubic
- Symmetry: No. 221

Cell lengths 4.3255, 4.3255, 4.3255 Å; angles 90.00, 90.00, 90.00 degrees
Fractional positions:
1 Tb 0.0000 0.0000 0.0000
2 Pd 0.0000 0.5000 0.5000
3 Pd 0.5000 0.0000 0.5000
4 Pd 0.5000 0.5000 0.0000
5 B 0.5000 0.5000 0.5000

---

The following is a PBE calculation of Y2TlGaB after structural relaxation, from Alexandria via LeMat-Bulk.

- Formation enthalpy at 0 K: 458 kJ/mol of formula units
- Crystal system: tetragonal
- Symmetry: No. 123

Cell lengths 5.3950, 4.9926, 5.3950 Å; angles 90.00, 90.00, 90.00 degrees
Fractional positions:
1 Y 0.0000 0.0000 0.5000
2 Y 0.5000 0.0000 0.0000
3 Ga 0.0000 0.0000 0.0000
4 Tl 0.0000 0.5000 0.0000
5 B 0.5000 0.5000 0.5000

---

The following is a PBE calculation of PaSi2Tc5 after structural relaxation, from Alexandria via LeMat-Bulk.

- Crystal system: orthorhombic
- Energy relative to the elements, uncorrected: -314 meV/atom
- Symmetry: No. 71

Cell lengths 3.1185, 6.6652, 6.6652 Å; angles 70.40, 76.47, 76.47 degrees
Fractional positions:
1 Si 0.7514 0.7486 0.7486
2 Si 0.2486 0.2514 0.2514
3 Pa 0.0000 0.0000 0.0000
4 Tc 0.6411 0.1474 0.5705
5 Tc 0.3589 0.8526 0.4295
6 Tc 0.6411 0.5705 0.1474
7 Tc 0.0000 0.5000 0.5000
8 Tc 0.3589 0.4295 0.8526

---

The following is a PBE calculation of Eu2Co5Ge3 after structural relaxation, from Alexandria via LeMat-Bulk.

- Formation enthalpy at 0 K: -302 kJ/mol of formula units
- Crystal system: tetragonal
- Symmetry: No. 99

Cell lengths 4.0033, 4.0033, 10.2713 Å; angles 90.00, 90.00, 90.00 degrees
Fractional positions:
1 Eu 0.5000 0.5000 0.4983
2 Eu 0.0000 0.0000 0.0076
3 Co 0.0000 0.5000 0.2408
4 Co 0.5000 0.5000 0.1235
5 Co 0.5000 0.0000 0.7538
6 Co 0.5000 0.0000 0.2408
7 Co 0.0000 0.5000 0.7538
8 Ge 0.0000 0.0000 0.6382
9 Ge 0.0000 0.0000 0.3642
10 Ge 0.5000 0.5000 0.8791

---

The following is a PBE calculation of SrCa2PmTl4 after structural relaxation, from Alexandria via LeMat-Bulk.

- Formation enthalpy at 0 K: -322 kJ/mol of formula units
- Crystal system: trigonal
- Symmetry: No. 166

Cell lengths 5.5706, 5.5706, 9.6469 Å; angles 73.22, 73.22, 60.00 degrees
Fractional positions:
1 Ca 0.7497 0.7497 0.7510
2 Ca 0.2503 0.2503 0.2490
3 Tl 0.3781 0.3781 0.8657
4 Tl 0.1265 0.1265 0.6205
5 Tl 0.6219 0.6219 0.1343
6 Tl 0.8735 0.8735 0.3795
7 Sr 0.0000 0.0000 0.0000
8 Pm 0.5000 0.5000 0.5000

---

The following is a PBE calculation of Cs2K5Au4 after structural relaxation, from Alexandria via LeMat-Bulk.

- Formation enthalpy at 0 K: -210 kJ/mol of formula units
- Excess energy over the best structure of this formula in the dataset: 0.0047 eV per atom
- Crystal system: monoclinic
- Symmetry: No. 12

Cell lengths 4.6621, 9.4196, 12.7049 Å; angles 96.30, 100.57, 90.00 degrees
Fractional positions:
1 K 0.5000 0.0000 0.0000
2 K 0.2181 0.2945 0.4362
3 K 0.1437 0.8825 0.2875
4 K 0.8563 0.1175 0.7125
5 K 0.7819 0.7055 0.5638
6 Au 0.9802 0.2738 0.9605
7 Au 0.0880 0.1809 0.1760
8 Au 0.9120 0.8191 0.8240
9 Au 0.0198 0.7262 0.0395
10 Cs 0.4221 0.5343 0.8442
11 Cs 0.5779 0.4657 0.1558

---

The following is a PBE calculation of Pr5HoTm3 after structural relaxation, from Alexandria via LeMat-Bulk.

- Formation enthalpy at 0 K: 236 kJ/mol of formula units
- Excess energy over the best structure of this formula in the dataset: 0.0000 eV per atom
- Crystal system: monoclinic
- Symmetry: No. 15

Cell lengths 6.3530, 10.9888, 11.7538 Å; angles 124.79, 90.00, 106.80 degrees
Fractional positions:
1 Ho 0.1046 0.0000 0.2500
2 Ho 0.8954 0.0000 0.7500
3 Pr 0.3526 0.3602 0.0297
4 Pr 0.8110 0.2788 0.1141
5 Pr 0.6474 0.6398 0.9703
6 Pr 0.5322 0.7212 0.3859
7 Pr 0.0076 0.3602 0.5297
8 Pr 0.9924 0.6398 0.4703
9 Pr 0.4045 0.0000 0.7500
10 Pr 0.1890 0.7212 0.8859
11 Pr 0.5955 0.0000 0.2500
12 Pr 0.4678 0.2788 0.6141
13 Tm 0.0000 0.0000 0.0000
14 Tm 0.0520 0.6513 0.1745
15 Tm 0.9480 0.3487 0.8255
16 Tm 0.0000 0.0000 0.5000
17 Tm 0.4007 0.3487 0.3255
18 Tm 0.5993 0.6513 0.6745

---

The following is a PBE calculation of CaIn8Ni2 after structural relaxation, from Alexandria via LeMat-Bulk.

- Formation enthalpy at 0 K: 32 kJ/mol of formula units
- Crystal system: tetragonal
- Symmetry: No. 123

Cell lengths 6.2538, 6.2538, 8.1051 Å; angles 90.00, 90.00, 90.00 degrees
Fractional positions:
1 In 0.7529 0.2471 0.8065
2 In 0.2471 0.2471 0.1935
3 In 0.7529 0.2471 0.1935
4 In 0.2471 0.7529 0.1935
5 In 0.7529 0.7529 0.8065
6 In 0.2471 0.7529 0.8065
7 In 0.2471 0.2471 0.8065
8 In 0.7529 0.7529 0.1935
9 Ca 0.5000 0.5000 0.5000
10 Ni 0.0000 0.5000 0.0000
11 Ni 0.5000 0.0000 0.0000